Entry 1:
Here is a geometry-optimized YAu2Br structure from the Alexandria database. Energies are from PBE-GGA.

Values from the calculation:
formation energy without anion corrections	-0.7599	eV/atom
space-group type	Pm (6)
total moment	0.0	Bohr magnetons per cell

abc: 3.635 3.805 8.114
angles: 81.81 90.00 90.00
Positions (direct):
Au (0.000, 0.964, 0.989)
Au (0.500, 0.411, 0.163)
Br (0.000, 0.607, 0.540)
Y (0.500, 0.518, 0.808)

---

Entry 2:
Here is a geometry-optimized Y2AuBr structure from the Alexandria database. Energies are from PBE-GGA.

Values from the calculation:
formation energy without anion corrections	-0.7051	eV/atom
space-group type	R3m (160)
total moment	1.2	Bohr magnetons per cell

abc: 10.289 10.289 10.289
angles: 21.11 21.11 21.11
Positions (direct):
Y (0.244, 0.244, 0.244)
Y (0.006, 0.006, 0.006)
Br (0.737, 0.737, 0.737)
Au (0.513, 0.513, 0.513)

---

Entry 3:
Here is a geometry-optimized YAu2Br structure from the Alexandria database. Energies are from PBE-GGA.

Values from the calculation:
formation energy without anion corrections	-0.7282	eV/atom
space-group type	Cmmm (65)
total moment	0.0	Bohr magnetons per cell

abc: 3.954 5.396 5.397
angles: 62.39 90.00 90.00
Positions (direct):
Br (0.500, 0.250, 0.250)
Au (0.000, 0.517, 0.517)
Au (0.000, 0.983, 0.983)
Y (0.500, 0.750, 0.750)

---

Entry 4:
Here is a geometry-optimized Y2AuBr structure from the Alexandria database. Energies are from PBE-GGA.

Values from the calculation:
formation energy without anion corrections	-0.8108	eV/atom
space-group type	Amm2 (38)
total moment	0.0	Bohr magnetons per cell

abc: 5.984 5.984 4.870
angles: 89.96 89.96 34.94
Positions (direct):
Y (0.751, 0.751, 0.625)
Y (0.004, 0.004, 0.125)
Br (0.258, 0.258, 0.125)
Au (0.488, 0.488, 0.625)

---

Entry 5:
Here is a geometry-optimized Y3AuBr structure from the Alexandria database. Energies are from PBE-GGA.

Values from the calculation:
formation energy without anion corrections	-0.2441	eV/atom
space-group type	Pm-3m (221)
total moment	0.0	Bohr magnetons per cell

abc: 5.594 5.594 5.594
angles: 90.00 90.00 90.00
Positions (direct):
Y (0.000, 0.000, 0.500)
Y (0.500, 0.000, 0.000)
Y (0.000, 0.500, 0.000)
Au (0.000, 0.000, 0.000)
Br (0.500, 0.500, 0.500)

---

Entry 6:
Here is a geometry-optimized YAuBr structure from the Alexandria database. Energies are from PBE-GGA.

Values from the calculation:
formation energy without anion corrections	-0.9373	eV/atom
space-group type	P3m1 (156)
total moment	0.0	Bohr magnetons per cell

abc: 3.981 3.981 6.810
angles: 90.00 90.00 120.00
Positions (direct):
Au (0.000, 0.000, 0.922)
Y (0.333, 0.667, 0.676)
Br (0.667, 0.333, 0.403)

---

Entry 7:
Here is a geometry-optimized YAu2Br structure from the Alexandria database. Energies are from PBE-GGA.

Values from the calculation:
formation energy without anion corrections	-0.7094	eV/atom
space-group type	P4mm (99)
total moment	0.0	Bohr magnetons per cell

abc: 3.598 3.598 8.029
angles: 90.00 90.00 90.00
Positions (direct):
Br (0.000, 0.000, 0.556)
Au (0.000, 0.000, 0.989)
Au (0.500, 0.500, 0.162)
Y (0.500, 0.500, 0.793)

---

Entry 8:
Here is a geometry-optimized YAuBr6 structure from the Alexandria database. Energies are from PBE-GGA.

Values from the calculation:
formation energy without anion corrections	-0.9190	eV/atom
space-group type	P-1 (2)
total moment	0.0	Bohr magnetons per cell

abc: 8.522 9.193 7.310
angles: 59.29 59.72 38.71
Positions (direct):
Br (0.880, 0.476, 0.335)
Br (0.280, 0.914, 0.144)
Br (0.616, 0.219, 0.293)
Br (0.120, 0.524, 0.665)
Br (0.720, 0.086, 0.856)
Br (0.384, 0.781, 0.707)
Au (0.000, 0.000, 0.000)
Y (0.500, 0.500, 0.500)

---

Mass density (computed, g cm⁻³): 8.41; 6.10; 9.16; 7.56; 5.16; 6.50; 8.99; 4.21
Final energy (computed, eV per atom): -4.433; -5.175; -4.401; -5.280; -5.113; -4.742; -4.382; -3.391